No. 1
PrNd2Ag3, relaxed, DFT PBE; symmetry = P4/mmm (123); ΔH_f (0 K) = -1.5 eV per formula unit; N(E_F) = 0.807 states/eV per atom; magnetization = 0.0 μB per formula unit
1.0
3.750 0.000 0.000
0.000 3.750 0.000
0.000 0.000 11.387
Pr Nd Ag
1 2 3
direct
0.000 0.000 0.000
0.000 0.000 0.334
0.000 0.000 0.666
0.500 0.500 0.170
0.500 0.500 0.500
0.500 0.500 0.830



No. 2
Pu4Ga12Ag, relaxed, DFT PBE; symmetry = Im-3m (229); ΔH_f (0 K) = -6.1 eV per formula unit; N(E_F) = 2.031 states/eV per atom; magnetization = 21.2 μB per formula unit
1.0
-4.354 4.354 4.354
4.354 -4.354 4.354
4.354 4.354 -4.354
Pu Ga Ag
4 12 1
direct
0.000 0.000 0.500
0.000 0.500 0.000
0.500 0.000 0.000
0.500 0.500 0.500
0.000 0.302 0.302
0.000 0.698 0.698
0.250 0.500 0.750
0.250 0.750 0.500
0.302 0.000 0.302
0.302 0.302 0.000
0.500 0.250 0.750
0.500 0.750 0.250
0.698 0.000 0.698
0.698 0.698 0.000
0.750 0.250 0.500
0.750 0.500 0.250
0.000 0.000 0.000